CdNi6Mo: single point on PBEsol structure, meta-GGA SCAN.

## Properties
Crystal system: orthorhombic
Formation enthalpy at 0 K in eV/atom: 0.060
Symmetry: Cmmm

Cell: 6.263 6.263 10.263 Å, 90.00 90.00 109.51°
Fractional positions:
Cd: 0.000 0.000 0.249
Cd: 0.000 0.000 0.751
Cd: 0.246 0.754 0.500
Cd: 0.754 0.246 0.500
Ni: 0.000 0.000 0.000
Ni: 0.000 0.000 0.500
Ni: 0.129 0.384 0.120
Ni: 0.129 0.384 0.880
Ni: 0.137 0.382 0.369
Ni: 0.137 0.382 0.631
Ni: 0.255 0.745 0.241
Ni: 0.255 0.745 0.759
Ni: 0.382 0.137 0.369
Ni: 0.382 0.137 0.631
Ni: 0.384 0.129 0.120
Ni: 0.384 0.129 0.880
Ni: 0.500 0.500 0.000
Ni: 0.500 0.500 0.500
Ni: 0.616 0.871 0.120
Ni: 0.616 0.871 0.880
Ni: 0.618 0.863 0.369
Ni: 0.618 0.863 0.631
Ni: 0.745 0.255 0.241
Ni: 0.745 0.255 0.759
Ni: 0.863 0.618 0.369
Ni: 0.863 0.618 0.631
Ni: 0.871 0.616 0.120
Ni: 0.871 0.616 0.880
Mo: 0.252 0.748 0.000
Mo: 0.500 0.500 0.256
Mo: 0.500 0.500 0.744
Mo: 0.748 0.252 0.000

---

Ho2Ga9Ir3: single point on PBEsol structure, meta-GGA SCAN.

## Properties
Crystal system: orthorhombic
Formation enthalpy at 0 K in eV/atom: -0.804
Symmetry: Cmcm

Cell: 7.460 7.460 9.356 Å, 90.00 90.00 60.20°
Fractional positions:
Ho: 0.003 0.670 0.750
Ho: 0.330 0.997 0.750
Ho: 0.670 0.003 0.250
Ho: 0.997 0.330 0.250
Ga: 0.000 0.335 0.581
Ga: 0.000 0.335 0.919
Ga: 0.000 0.665 0.081
Ga: 0.000 0.665 0.419
Ga: 0.130 0.870 0.250
Ga: 0.332 0.668 0.567
Ga: 0.332 0.668 0.933
Ga: 0.335 0.000 0.081
Ga: 0.335 0.000 0.419
Ga: 0.339 0.453 0.250
Ga: 0.453 0.339 0.750
Ga: 0.547 0.661 0.250
Ga: 0.661 0.547 0.750
Ga: 0.665 0.000 0.581
Ga: 0.665 0.000 0.919
Ga: 0.668 0.332 0.067
Ga: 0.668 0.332 0.433
Ga: 0.870 0.130 0.750
Ir: 0.000 0.000 0.000
Ir: 0.000 0.000 0.500
Ir: 0.328 0.328 0.000
Ir: 0.328 0.328 0.500
Ir: 0.672 0.672 0.000
Ir: 0.672 0.672 0.500

---

Cd2Cu: single point on PBEsol structure, meta-GGA SCAN.

## Properties
Crystal system: monoclinic
Formation enthalpy at 0 K in eV/atom: 0.064
Symmetry: Cm

Cell: 5.053 5.053 7.460 Å, 95.23 95.23 34.17°
Fractional positions:
Cd: 0.000 0.000 0.000
Cd: 0.051 0.051 0.437
Cd: 0.293 0.293 0.191
Cd: 0.708 0.708 0.813
Cu: 0.425 0.425 0.693
Cu: 0.783 0.783 0.484

---

BaCa2Sc: single point on PBEsol structure, meta-GGA SCAN.

## Properties
Crystal system: cubic
Formation enthalpy at 0 K in eV/atom: 0.283
Symmetry: F-43m

Cell: 5.982 5.982 5.982 Å, 60.00 60.00 60.00°
Fractional positions:
Ba: 0.000 0.000 0.000
Ca: 0.250 0.250 0.250
Ca: 0.500 0.500 0.500
Sc: 0.750 0.750 0.750

---

NiHgPb: single point on PBEsol structure, meta-GGA SCAN.

## Properties
Crystal system: tetragonal
Formation enthalpy at 0 K in eV/atom: 0.263
Symmetry: I4mm

Cell: 6.277 6.277 6.277 Å, 150.55 150.55 42.14°
Fractional positions:
Ni: 0.000 0.000 0.000
Hg: 0.628 0.628 0.000
Pb: 0.355 0.355 0.000

---

TlCrBr: single point on PBEsol structure, meta-GGA SCAN.

## Properties
Crystal system: tetragonal
Formation energy without anion corrections in eV/f.u.: -0.3
Symmetry: I4mm

Cell: 6.490 6.490 6.490 Å, 149.32 149.32 43.94°
Fractional positions:
Tl: 0.000 0.000 0.000
Cr: 0.346 0.346 0.000
Br: 0.731 0.731 0.000

---

no.,DOS(E_F) (states/eV per atom)
1,0.2195
2,0.2128
3,0.2753
4,1.4892
5,0.5012
6,0.2864